{"formula": "Er2Si2AgRh5", "functional": "PBE", "state": "relaxed", "cell": [[-2.421, -2.455, 0.213], [6.624, -6.747, -2.488], [2.184, -1.335, 9.435]], "species": ["Er", "Er", "Er", "Er", "Si", "Si", "Si", "Si", "Ag", "Ag", "Rh", "Rh", "Rh", "Rh", "Rh", "Rh", "Rh", "Rh", "Rh", "Rh"], "frac_coords": [[0.000, 0.674, 0.174], [0.000, 0.326, 0.826], [0.000, 0.174, 0.326], [0.000, 0.826, 0.674], [0.000, 0.125, 0.625], [0.000, 0.875, 0.375], [0.000, 0.625, 0.875], [0.000, 0.375, 0.125], [0.000, 0.000, 0.000], [0.000, 0.500, 0.500], [0.500, 0.216, 0.069], [0.500, 0.784, 0.931], [0.500, 0.069, 0.784], [0.500, 0.716, 0.431], [0.500, 0.931, 0.216], [0.500, 0.284, 0.569], [0.500, 0.569, 0.716], [0.500, 0.431, 0.284], [0.500, 0.500, 0.000], [0.500, 0.000, 0.500]], "space_group": "P4/mbm", "raw_formation_energy_ev_per_atom": -0.85, "rho_g_cm3": 10.19}

***

{"formula": "SmErAgRh", "functional": "PBE", "state": "relaxed", "cell": [[-0.238, 3.205, 1.449], [-0.395, -1.468, 3.181], [7.171, 0.108, 0.940]], "species": ["Sm", "Er", "Ag", "Rh"], "frac_coords": [[0.000, 0.000, 0.835], [0.000, 0.000, 0.377], [0.500, 0.500, 0.122], [0.500, 0.500, 0.595]], "formation_energy_kcal_per_mol_atoms": -13.03, "space_group": "P4mm", "rho_g_cm3": 9.76}